A) Density functional theory data (GGA-PBE) for a relaxed Si2PbBr2 crystal.

Cell lengths 8.9441, 8.9441, 3.3543 Å; angles 90.00, 90.00, 90.00 degrees
Fractional positions:
Pb 0.0000 0.0000 0.0000
Pb 0.5000 0.5000 0.0000
Si 0.2216 0.7216 0.5000
Si 0.7216 0.7784 0.5000
Si 0.7784 0.2784 0.5000
Si 0.2784 0.2216 0.5000
Br 0.3741 0.8741 0.0000
Br 0.8741 0.6259 0.0000
Br 0.6259 0.1259 0.0000
Br 0.1259 0.3741 0.0000

Computed properties:
Fermi-level density of states: 4.68 states/eV per cell

B) Density functional theory data (GGA-PBE) for a relaxed Si2PbBr2 crystal.

Cell lengths 3.5715, 3.5715, 12.4485 Å; angles 81.75, 81.75, 90.00 degrees
Fractional positions:
Pb 0.0000 0.0000 0.0000
Si 0.7500 0.2500 0.5000
Si 0.2500 0.7500 0.5000
Br 0.4235 0.4235 0.1530
Br 0.5765 0.5765 0.8470

Computed properties:
Fermi-level density of states: 2.54 states/eV per cell

Winner for stability: B)

A) Density functional theory data (GGA-PBE) for a relaxed Si2PbBr crystal.

Cell lengths 5.0449, 5.0449, 5.0449 Å; angles 60.00, 60.00, 60.00 degrees
Fractional positions:
Pb 0.5000 0.5000 0.5000
Si 0.2500 0.2500 0.2500
Si 0.7500 0.7500 0.7500
Br 0.0000 0.0000 0.0000

Computed properties:
Fermi-level density of states: 2.32 states/eV per cell

B) Density functional theory data (GGA-PBE) for a relaxed Si2PbBr crystal.

Cell lengths 5.5518, 5.5518, 8.6896 Å; angles 71.37, 71.37, 90.00 degrees
Fractional positions:
Pb 0.0000 0.0000 0.0000
Pb 0.7500 0.2500 0.5000
Si 0.5978 0.1250 0.2500
Si 0.1522 0.6250 0.2500
Si 0.3750 0.4022 0.7500
Si 0.8750 0.8478 0.7500
Br 0.5000 0.5000 0.0000
Br 0.2500 0.7500 0.5000

Computed properties:
Fermi-level density of states: 2.91 states/eV per cell

Winner for stability: A)

A) Density functional theory data (GGA-PBE) for a relaxed Si2PbBr crystal.

Cell lengths 3.4772, 3.4772, 7.7365 Å; angles 90.00, 90.00, 90.00 degrees
Fractional positions:
Br 0.5000 0.5000 0.2500
Pb 0.5000 0.5000 0.7500
Si 0.0000 0.0000 0.9944
Si 0.0000 0.0000 0.5056

Computed properties:
Fermi-level density of states: 1.41 states/eV per cell

B) Density functional theory data (GGA-PBE) for a relaxed Si2PbBr crystal.

Cell lengths 6.4350, 6.4350, 6.4350 Å; angles 149.28, 134.49, 55.91 degrees
Fractional positions:
Br 0.7500 0.2500 0.5000
Pb 0.2500 0.7500 0.5000
Si 0.0208 0.0208 0.0000
Si 0.4792 0.4792 0.0000

Computed properties:
Fermi-level density of states: 1.96 states/eV per cell

Winner for stability: B)

A) Density functional theory data (GGA-PBE) for a relaxed Si2PbBr crystal.

Cell lengths 6.4991, 6.4991, 5.9516 Å; angles 60.59, 60.59, 34.04 degrees
Fractional positions:
Br 0.7500 0.7500 0.7500
Pb 0.2500 0.2500 0.2500
Si 0.9395 0.9395 0.8564
Si 0.5605 0.5605 0.6436

Computed properties:
Fermi-level density of states: 2.27 states/eV per cell

B) Density functional theory data (GGA-PBE) for a relaxed Si2PbBr crystal.

Cell lengths 3.3297, 3.4365, 9.0678 Å; angles 90.00, 90.00, 90.00 degrees
Fractional positions:
Br 0.0000 0.0000 0.4331
Pb 0.5000 0.5000 0.7880
Si 0.0000 0.0000 0.1828
Si 0.5000 0.5000 0.0960

Computed properties:
Fermi-level density of states: 2.24 states/eV per cell

C) Density functional theory data (GGA-PBE) for a relaxed Si2PbBr crystal.

Cell lengths 3.8160, 4.4462, 6.9260 Å; angles 71.42, 90.00, 90.00 degrees
Fractional positions:
Br 0.0000 0.5170 0.4445
Pb 0.5000 0.8269 0.8112
Si 0.0000 0.9246 0.1329
Si 0.5000 0.2315 0.1113

Computed properties:
Fermi-level density of states: 1.36 states/eV per cell

Winner for stability: B)

A) Density functional theory data (GGA-PBE) for a relaxed Si2PbBr crystal.

Cell lengths 3.3404, 5.1491, 5.4808 Å; angles 90.00, 90.00, 90.00 degrees
Fractional positions:
Br 0.5000 0.0000 0.5000
Pb 0.0000 0.5000 0.5000
Si 0.0000 0.0000 0.0000
Si 0.5000 0.5000 0.0000

Computed properties:
Fermi-level density of states: 1.30 states/eV per cell

B) Density functional theory data (GGA-PBE) for a relaxed Si2PbBr crystal.

Cell lengths 6.1785, 4.0693, 4.0693 Å; angles 90.00, 90.00, 90.00 degrees
Fractional positions:
Br 0.5000 0.5000 0.0000
Pb 0.5000 0.0000 0.5000
Si 0.0000 0.0000 0.0000
Si 0.0000 0.5000 0.5000

Computed properties:
Fermi-level density of states: 2.39 states/eV per cell

C) Density functional theory data (GGA-PBE) for a relaxed Si2PbBr crystal.

Cell lengths 6.3557, 6.3557, 6.3557 Å; angles 148.76, 134.15, 56.52 degrees
Fractional positions:
Br 0.5128 0.5128 0.0000
Pb 0.2136 0.7136 0.5000
Si 0.9656 0.9656 0.0000
Si 0.8080 0.3080 0.5000

Computed properties:
Fermi-level density of states: 1.27 states/eV per cell

Winner for stability: C)

A) Density functional theory data (GGA-PBE) for a relaxed Si2PbBr crystal.

Cell lengths 9.1701, 9.1701, 9.1701 Å; angles 21.93, 21.93, 21.93 degrees
Fractional positions:
Br 0.2500 0.2500 0.2500
Pb 0.7500 0.7500 0.7500
Si 0.9967 0.9967 0.9967
Si 0.5033 0.5033 0.5033

Computed properties:
Fermi-level density of states: 2.60 states/eV per cell

B) Density functional theory data (GGA-PBE) for a relaxed Si2PbBr crystal.

Cell lengths 3.4623, 3.4623, 8.2768 Å; angles 90.00, 90.00, 105.79 degrees
Fractional positions:
Br 0.0000 0.0000 0.4938
Pb 0.5000 0.5000 0.7684
Si 0.0000 0.0000 0.0447
Si 0.5000 0.5000 0.1931

Computed properties:
Fermi-level density of states: 1.19 states/eV per cell

C) Density functional theory data (GGA-PBE) for a relaxed Si2PbBr crystal.

Cell lengths 3.9323, 3.9323, 8.1119 Å; angles 76.34, 76.34, 59.98 degrees
Fractional positions:
Br 0.5076 0.5076 0.4869
Pb 0.2615 0.2615 0.2226
Si 0.0173 0.0173 0.9408
Si 0.7135 0.7135 0.8496

Computed properties:
Fermi-level density of states: 1.19 states/eV per cell

Winner for stability: C)

A) Density functional theory data (GGA-PBE) for a relaxed Si2PbBr crystal.

Cell lengths 5.9556, 3.8016, 5.1168 Å; angles 87.10, 90.00, 90.00 degrees
Fractional positions:
Br 0.5000 0.2500 0.2500
Pb 0.5000 0.7500 0.7500
Si 0.0000 0.9939 0.8766
Si 0.0000 0.5061 0.6234

Computed properties:
Fermi-level density of states: 1.41 states/eV per cell

B) Density functional theory data (GGA-PBE) for a relaxed Si2PbBr crystal.

Cell lengths 3.2271, 4.8731, 6.0761 Å; angles 90.00, 90.00, 90.00 degrees
Fractional positions:
Br 0.5000 0.5000 0.2500
Pb 0.5000 0.5000 0.7500
Si 0.0000 0.0000 0.0465
Si 0.0000 0.0000 0.4535

Computed properties:
Fermi-level density of states: 2.53 states/eV per cell

Winner for stability: A)

A) Density functional theory data (GGA-PBE) for a relaxed Si2PbBr crystal.

Cell lengths 3.3207, 3.3207, 9.6758 Å; angles 90.00, 90.00, 119.31 degrees
Fractional positions:
Br 0.5000 0.5000 0.2500
Pb 0.5000 0.5000 0.7500
Si 0.0000 0.0000 0.0199
Si 0.0000 0.0000 0.4801

Computed properties:
Fermi-level density of states: 2.17 states/eV per cell

B) Density functional theory data (GGA-PBE) for a relaxed Si2PbBr crystal.

Cell lengths 5.0509, 5.0509, 5.0509 Å; angles 60.00, 60.00, 60.00 degrees
Fractional positions:
Br 0.5000 0.5000 0.5000
Pb 0.7500 0.7500 0.7500
Si 0.0000 0.0000 0.0000
Si 0.2500 0.2500 0.2500

Computed properties:
Fermi-level density of states: 3.05 states/eV per cell

Winner for stability: B)